Mg2AlH | GGA-PBE | relaxed Values from VASP.

Values from the calculation:
The space-group type is I-42d.

Structure (Quantum ESPRESSO input):
```
&SYSTEM
  ibrav = 0, nat = 8, ntyp = 3
/
ATOMIC_SPECIES
H 1.01 H.upf
Mg 24.30 Mg.upf
Al 26.98 Al.upf
ATOMIC_POSITIONS angstrom
H -2.7351 -1.7648 -3.1866
H -6.2346 -2.6159 -2.9674
Mg -2.1064 -0.0177 -4.0015
Mg -4.4052 -2.2814 -2.1594
Mg -6.1875 -1.2441 -4.4599
Mg -7.8773 -2.1236 -7.6494
Al 0.0000 0.0000 0.0000
Al -4.0536 -0.2175 -6.1676
CELL_PARAMETERS angstrom
-0.5541 0.6336 -6.3868
-4.9161 -4.1631 0.0135
-4.8179 0.6961 -2.7618
```


MgAl2H6 | GGA-PBE | relaxed Values from VASP.

Values from the calculation:
The space-group type is C2/c.

Structure (Quantum ESPRESSO input):
```
&SYSTEM
  ibrav = 0, nat = 18, ntyp = 3
/
ATOMIC_SPECIES
Mg 24.30 Mg.upf
Al 26.98 Al.upf
H 1.01 H.upf
ATOMIC_POSITIONS angstrom
Mg -5.4447 1.9536 2.6296
Mg -1.9785 -5.7568 6.6737
Al -3.8464 0.5020 4.6892
Al -3.1927 0.0307 2.2628
Al -3.5768 -4.3052 4.6141
Al -4.2305 -3.8339 7.0405
H -4.3865 -0.5856 5.8032
H -1.7320 0.3114 1.5535
H -3.0367 -3.2176 3.5001
H -5.6912 -4.1146 7.7499
H -5.4114 -2.3134 3.1846
H -6.6874 -2.0645 6.5834
H -2.0118 -1.4898 6.1187
H -0.7358 -1.7387 2.7199
H 1.5884 -2.0733 3.8538
H -1.1588 -3.9399 6.3816
H -9.0116 -1.7299 5.4495
H -6.2644 0.1367 2.9217
CELL_PARAMETERS angstrom
-5.3055 -4.6951 2.7080
2.2442 -2.4490 4.7498
-4.3620 3.3409 1.8455
```


MgAlH5 | GGA-PBE | relaxed Values from VASP.

Values from the calculation:
The space-group type is P2_1.

Structure (Quantum ESPRESSO input):
```
&SYSTEM
  ibrav = 0, nat = 14, ntyp = 3
/
ATOMIC_SPECIES
H 1.01 H.upf
Mg 24.30 Mg.upf
Al 26.98 Al.upf
ATOMIC_POSITIONS angstrom
H 0.1195 5.3662 5.2769
H 1.9977 3.6381 5.2768
H 4.1140 3.1146 1.1886
H 2.2358 1.3864 1.1885
H 2.0069 1.5623 3.9356
H 0.1090 2.9402 3.9357
H 2.2253 3.8125 2.5297
H 4.1232 5.1904 2.5298
H 2.1162 6.0108 6.4651
H 4.2325 0.7418 0.0003
Mg 1.0578 2.2491 2.3190
Mg 3.1741 4.5036 4.1464
Al 3.1743 4.5010 1.1827
Al 1.0580 2.2517 5.2828
CELL_PARAMETERS angstrom
4.2326 0.0000 0.0000
0.0000 4.5021 -0.0003
0.0000 2.2506 6.4658
```


Mg2AlH | GGA-PBE | relaxed Values from VASP.

Values from the calculation:
The space-group type is R-3m.

Structure (Quantum ESPRESSO input):
```
&SYSTEM
  ibrav = 0, nat = 4, ntyp = 3
/
ATOMIC_SPECIES
H 1.01 H.upf
Mg 24.30 Mg.upf
Al 26.98 Al.upf
ATOMIC_POSITIONS angstrom
H 0.0000 0.0000 0.0000
Mg 1.5438 0.8913 1.3749
Mg 4.6313 2.6739 6.1013
Al 3.0875 1.7826 3.7381
CELL_PARAMETERS angstrom
3.0875 0.0000 0.0000
1.5438 2.6739 0.0000
1.5438 0.8913 7.4762
```


| no. | size of the total moment (μB/cell) | mass density (g/cm³) | relative energy among the computed polymorphs (meV/atom) |
| --- | --- | --- | --- |
| 1 | 0.00 | 1.9 | 57 |
| 2 | 0.00 | 1.3 | 0 |
| 3 | 0.00 | 1.5 | 0 |
| 4 | 0.00 | 2.1 | 0 |